A plane-wave DFT calculation with PBE was carried out for crystalline TiZnFe3 at its relaxed geometry.

Cell lengths 4.2217, 4.2217, 4.2217 Å; angles 90.00, 90.00, 90.00 degrees
With the nearest neighbours (Å) after each atom.
Sites, in units of the cell vectors:
Fe 0.5000 0.0000 0.0000  2 Zn 2.11
Zn 0.0000 0.0000 0.0000  6 Fe 2.11
Ti 0.5000 0.5000 0.5000  12 Fe 2.99
Fe 0.0000 0.0000 0.5000  2 Zn 2.11
Fe 0.0000 0.5000 0.0000  2 Zn 2.11

crystal system: cubic
polymorph energy (0 for the lowest one): 241 meV per atom
total magnetic moment: 0.013 μB/cell
final energy: -5.579 eV/atom
space-group type: Pm-3m